PBE Fe3PtW, optimized geometry; symmetry = Pm-3m; formation enthalpy at 0 K = 1.53 eV per atom; polymorph energy (0 for the lowest one) = 0.000 eV per atom; N(E_F) = 1.146 states/eV/atom
1.0
4.4113 0.0000 0.0000
0.0000 4.4113 0.0000
0.0000 0.0000 4.4113
Fe Pt W
3 1 1
Direct
0.0000 0.0000 0.5000
0.0000 0.5000 0.0000
0.5000 0.0000 0.0000
0.5000 0.5000 0.5000
0.0000 0.0000 0.0000